#w
Compound: Ta4Nb3W
Source: Alexandria
Functional: PBE
Structure: optimized geometry

Geometry as CIF:
```
data_Ta4Nb3W
_chemical_formula_sum 'Ta4 Nb3 W1'
_cell_length_a 3.285
_cell_length_b 3.285
_cell_length_c 13.283
_cell_angle_alpha 90.00
_cell_angle_beta 90.00
_cell_angle_gamma 90.00
_space_group_name_H-M_alt 'P 1'
_space_group_IT_number 1
loop_
_space_group_symop_operation_xyz
'x,y,z'
loop_
_atom_site_label
_atom_site_type_symbol
_atom_site_fract_x
_atom_site_fract_y
_atom_site_fract_z
Ta1 Ta 0.000 0.000 0.120
Ta2 Ta 0.000 0.000 0.373
Ta3 Ta 0.000 0.000 0.627
Ta4 Ta 0.000 0.000 0.880
Nb1 Nb 0.500 0.500 0.248
Nb2 Nb 0.500 0.500 0.500
Nb3 Nb 0.500 0.500 0.752
W1 W 0.500 0.500 0.000
```

Results
Spin magnetization ... 0.000 μB per atom
DOS at the Fermi energy ... 10.5 states/eV/f.u.
Volume ... 143.3 Å³/cell

#x
Compound: Ta4Nb3W
Source: Alexandria
Functional: PBE
Structure: optimized geometry

Geometry as CIF:
```
data_Ta4Nb3W
_chemical_formula_sum 'Ta8 Nb6 W2'
_cell_length_a 6.583
_cell_length_b 6.606
_cell_length_c 6.586
_cell_angle_alpha 90.00
_cell_angle_beta 90.00
_cell_angle_gamma 90.00
_space_group_name_H-M_alt 'P 1'
_space_group_IT_number 1
loop_
_space_group_symop_operation_xyz
'x,y,z'
loop_
_atom_site_label
_atom_site_type_symbol
_atom_site_fract_x
_atom_site_fract_y
_atom_site_fract_z
Ta1 Ta 0.000 0.000 0.000
Ta2 Ta 0.000 0.500 0.000
Ta3 Ta 0.250 0.245 0.250
Ta4 Ta 0.250 0.755 0.750
Ta5 Ta 0.500 0.000 0.500
Ta6 Ta 0.500 0.500 0.500
Ta7 Ta 0.750 0.245 0.250
Ta8 Ta 0.750 0.755 0.750
Nb1 Nb 0.000 0.500 0.500
Nb2 Nb 0.250 0.247 0.750
Nb3 Nb 0.250 0.753 0.250
Nb4 Nb 0.500 0.500 0.000
Nb5 Nb 0.750 0.247 0.750
Nb6 Nb 0.750 0.753 0.250
W1 W 0.000 0.000 0.500
W2 W 0.500 0.000 0.000
```

Results
Spin magnetization ... 0.000 μB per atom
DOS at the Fermi energy ... 10.8 states/eV/f.u.
Volume ... 286.5 Å³/cell

The calculated energies rank the structures as follows, beginning with the most stable: #w, #x.

#w
Compound: TaNb4W
Source: Alexandria
Functional: PBE
Structure: optimized geometry

Geometry as CIF:
```
data_TaNb4W
_chemical_formula_sum 'Ta2 Nb8 W2'
_cell_length_a 5.010
_cell_length_b 5.010
_cell_length_c 9.349
_cell_angle_alpha 90.00
_cell_angle_beta 90.00
_cell_angle_gamma 67.61
_space_group_name_H-M_alt 'P 1'
_space_group_IT_number 1
loop_
_space_group_symop_operation_xyz
'x,y,z'
loop_
_atom_site_label
_atom_site_type_symbol
_atom_site_fract_x
_atom_site_fract_y
_atom_site_fract_z
Ta1 Ta 0.000 0.500 0.000
Ta2 Ta 0.500 0.000 0.500
Nb1 Nb 0.165 0.668 0.500
Nb2 Nb 0.329 0.332 0.750
Nb3 Nb 0.332 0.329 0.250
Nb4 Nb 0.332 0.835 0.000
Nb5 Nb 0.668 0.165 0.000
Nb6 Nb 0.668 0.671 0.750
Nb7 Nb 0.671 0.668 0.250
Nb8 Nb 0.835 0.332 0.500
W1 W 0.001 0.999 0.250
W2 W 0.999 0.001 0.750
```

Results
Spin magnetization ... 0.000 μB per atom
DOS at the Fermi energy ... 5.6 states/eV/f.u.
Volume ... 216.9 Å³/cell

#x
Compound: TaNb4W
Source: Alexandria
Functional: PBE
Structure: optimized geometry

Geometry as CIF:
```
data_TaNb4W
_chemical_formula_sum 'Ta2 Nb8 W2'
_cell_length_a 2.768
_cell_length_b 8.269
_cell_length_c 9.422
_cell_angle_alpha 90.00
_cell_angle_beta 90.01
_cell_angle_gamma 90.00
_space_group_name_H-M_alt 'P 1'
_space_group_IT_number 1
loop_
_space_group_symop_operation_xyz
'x,y,z'
loop_
_atom_site_label
_atom_site_type_symbol
_atom_site_fract_x
_atom_site_fract_y
_atom_site_fract_z
Ta1 Ta 0.016 0.250 0.374
Ta2 Ta 0.984 0.750 0.626
Nb1 Nb 0.351 0.578 0.877
Nb2 Nb 0.351 0.922 0.877
Nb3 Nb 0.362 0.581 0.372
Nb4 Nb 0.362 0.919 0.372
Nb5 Nb 0.638 0.081 0.628
Nb6 Nb 0.638 0.419 0.628
Nb7 Nb 0.649 0.078 0.123
Nb8 Nb 0.649 0.422 0.123
W1 W 0.002 0.250 0.877
W2 W 0.998 0.750 0.123
```

Results
Spin magnetization ... 0.000 μB per atom
DOS at the Fermi energy ... 5.6 states/eV/f.u.
Volume ... 215.7 Å³/cell

The calculated energies rank the structures as follows, beginning with the most stable: #x, #w.

#w
Compound: Ta2Nb7W2
Source: Alexandria
Functional: PBE
Structure: optimized geometry

Geometry as CIF:
```
data_Ta2Nb7W2
_chemical_formula_sum 'Ta2 Nb7 W2'
_cell_length_a 5.411
_cell_length_b 5.411
_cell_length_c 7.846
_cell_angle_alpha 90.09
_cell_angle_beta 90.09
_cell_angle_gamma 116.22
_space_group_name_H-M_alt 'P 1'
_space_group_IT_number 1
loop_
_space_group_symop_operation_xyz
'x,y,z'
loop_
_atom_site_label
_atom_site_type_symbol
_atom_site_fract_x
_atom_site_fract_y
_atom_site_fract_z
Ta1 Ta 0.245 0.755 0.000
Ta2 Ta 0.755 0.245 0.000
Nb1 Nb 0.000 0.000 0.500
Nb2 Nb 0.116 0.579 0.665
Nb3 Nb 0.331 0.331 0.178
Nb4 Nb 0.421 0.884 0.335
Nb5 Nb 0.579 0.116 0.665
Nb6 Nb 0.669 0.669 0.822
Nb7 Nb 0.884 0.421 0.335
W1 W 0.163 0.163 0.835
W2 W 0.837 0.837 0.165
```

Results
Spin magnetization ... 0.000 μB per atom
DOS at the Fermi energy ... 12.3 states/eV/f.u.
Volume ... 206.1 Å³/cell

#x
Compound: Ta2Nb7W2
Source: Alexandria
Functional: PBE
Structure: optimized geometry

Geometry as CIF:
```
data_Ta2Nb7W2
_chemical_formula_sum 'Ta2 Nb7 W2'
_cell_length_a 5.491
_cell_length_b 5.491
_cell_length_c 7.474
_cell_angle_alpha 100.21
_cell_angle_beta 100.21
_cell_angle_gamma 107.66
_space_group_name_H-M_alt 'P 1'
_space_group_IT_number 1
loop_
_space_group_symop_operation_xyz
'x,y,z'
loop_
_atom_site_label
_atom_site_type_symbol
_atom_site_fract_x
_atom_site_fract_y
_atom_site_fract_z
Ta1 Ta 0.090 0.090 0.330
Ta2 Ta 0.910 0.910 0.670
Nb1 Nb 0.014 0.421 0.680
Nb2 Nb 0.306 0.306 0.058
Nb3 Nb 0.421 0.014 0.680
Nb4 Nb 0.500 0.500 0.500
Nb5 Nb 0.579 0.986 0.320
Nb6 Nb 0.694 0.694 0.942
Nb7 Nb 0.986 0.579 0.320
W1 W 0.233 0.767 0.000
W2 W 0.767 0.233 0.000
```

Results
Spin magnetization ... 0.000 μB per atom
DOS at the Fermi energy ... 10.0 states/eV/f.u.
Volume ... 204.9 Å³/cell

The calculated energies rank the structures as follows, beginning with the most stable: #w, #x.

#w
Compound: Ta2NbW3
Source: Alexandria
Functional: PBE
Structure: optimized geometry

Geometry as CIF:
```
data_Ta2NbW3
_chemical_formula_sum 'Ta4 Nb2 W6'
_cell_length_a 7.237
_cell_length_b 7.237
_cell_length_c 6.496
_cell_angle_alpha 90.00
_cell_angle_beta 90.00
_cell_angle_gamma 143.12
_space_group_name_H-M_alt 'P 1'
_space_group_IT_number 1
loop_
_space_group_symop_operation_xyz
'x,y,z'
loop_
_atom_site_label
_atom_site_type_symbol
_atom_site_fract_x
_atom_site_fract_y
_atom_site_fract_z
Ta1 Ta 0.000 0.000 0.000
Ta2 Ta 0.000 0.000 0.500
Ta3 Ta 0.333 0.667 0.000
Ta4 Ta 0.667 0.333 0.000
Nb1 Nb 0.334 0.666 0.500
Nb2 Nb 0.666 0.334 0.500
W1 W 0.167 0.833 0.250
W2 W 0.167 0.833 0.750
W3 W 0.500 0.500 0.250
W4 W 0.500 0.500 0.750
W5 W 0.833 0.167 0.250
W6 W 0.833 0.167 0.750
```

Results
Spin magnetization ... 0.000 μB per atom
DOS at the Fermi energy ... 4.5 states/eV/f.u.
Volume ... 204.2 Å³/cell

#x
Compound: Ta2NbW3
Source: Alexandria
Functional: PBE
Structure: optimized geometry

Geometry as CIF:
```
data_Ta2NbW3
_chemical_formula_sum 'Ta4 Nb2 W6'
_cell_length_a 5.756
_cell_length_b 5.756
_cell_length_c 6.432
_cell_angle_alpha 94.52
_cell_angle_beta 94.52
_cell_angle_gamma 90.75
_space_group_name_H-M_alt 'P 1'
_space_group_IT_number 1
loop_
_space_group_symop_operation_xyz
'x,y,z'
loop_
_atom_site_label
_atom_site_type_symbol
_atom_site_fract_x
_atom_site_fract_y
_atom_site_fract_z
Ta1 Ta 0.121 0.624 0.872
Ta2 Ta 0.376 0.879 0.628
Ta3 Ta 0.624 0.121 0.372
Ta4 Ta 0.879 0.376 0.128
Nb1 Nb 0.088 0.912 0.250
Nb2 Nb 0.912 0.088 0.750
W1 W 0.178 0.340 0.491
W2 W 0.340 0.178 0.991
W3 W 0.430 0.570 0.250
W4 W 0.570 0.430 0.750
W5 W 0.660 0.822 0.009
W6 W 0.822 0.660 0.509
```

Results
Spin magnetization ... 0.000 μB per atom
DOS at the Fermi energy ... 5.6 states/eV/f.u.
Volume ... 211.7 Å³/cell

The calculated energies rank the structures as follows, beginning with the most stable: #w, #x.

#w
Compound: Ta2Nb5W
Source: Alexandria
Functional: PBE
Structure: optimized geometry

Geometry as CIF:
```
data_Ta2Nb5W
_chemical_formula_sum 'Ta4 Nb10 W2'
_cell_length_a 4.650
_cell_length_b 4.650
_cell_length_c 13.241
_cell_angle_alpha 90.00
_cell_angle_beta 90.00
_cell_angle_gamma 90.00
_space_group_name_H-M_alt 'P 1'
_space_group_IT_number 1
loop_
_space_group_symop_operation_xyz
'x,y,z'
loop_
_atom_site_label
_atom_site_type_symbol
_atom_site_fract_x
_atom_site_fract_y
_atom_site_fract_z
Ta1 Ta 0.000 0.000 0.249
Ta2 Ta 0.000 0.000 0.751
Ta3 Ta 0.500 0.500 0.251
Ta4 Ta 0.500 0.500 0.749
Nb1 Nb 0.000 0.000 0.500
Nb2 Nb 0.000 0.500 0.123
Nb3 Nb 0.000 0.500 0.377
Nb4 Nb 0.000 0.500 0.623
Nb5 Nb 0.000 0.500 0.877
Nb6 Nb 0.500 0.000 0.123
Nb7 Nb 0.500 0.000 0.377
Nb8 Nb 0.500 0.000 0.623
Nb9 Nb 0.500 0.000 0.877
Nb10 Nb 0.500 0.500 0.000
W1 W 0.000 0.000 0.000
W2 W 0.500 0.500 0.500
```

Results
Spin magnetization ... 0.000 μB per atom
DOS at the Fermi energy ... 10.9 states/eV/f.u.
Volume ... 286.4 Å³/cell

#x
Compound: Ta2Nb5W
Source: Alexandria
Functional: PBE
Structure: optimized geometry

Geometry as CIF:
```
data_Ta2Nb5W
_chemical_formula_sum 'Ta4 Nb10 W2'
_cell_length_a 5.609
_cell_length_b 10.975
_cell_length_c 4.697
_cell_angle_alpha 90.00
_cell_angle_beta 90.00
_cell_angle_gamma 90.00
_space_group_name_H-M_alt 'P 1'
_space_group_IT_number 1
loop_
_space_group_symop_operation_xyz
'x,y,z'
loop_
_atom_site_label
_atom_site_type_symbol
_atom_site_fract_x
_atom_site_fract_y
_atom_site_fract_z
Ta1 Ta 0.156 0.114 0.000
Ta2 Ta 0.344 0.614 0.000
Ta3 Ta 0.656 0.386 0.000
Ta4 Ta 0.844 0.886 0.000
Nb1 Nb 0.000 0.500 0.500
Nb2 Nb 0.150 0.752 0.500
Nb3 Nb 0.158 0.374 0.000
Nb4 Nb 0.342 0.874 0.000
Nb5 Nb 0.350 0.252 0.500
Nb6 Nb 0.500 0.000 0.500
Nb7 Nb 0.650 0.748 0.500
Nb8 Nb 0.658 0.126 0.000
Nb9 Nb 0.842 0.626 0.000
Nb10 Nb 0.850 0.248 0.500
W1 W 0.000 0.000 0.500
W2 W 0.500 0.500 0.500
```

Results
Spin magnetization ... 0.000 μB per atom
DOS at the Fermi energy ... 8.2 states/eV/f.u.
Volume ... 289.1 Å³/cell

The calculated energies rank the structures as follows, beginning with the most stable: #w, #x.